A plane-wave DFT calculation with PBE was carried out for an optimized crystal structure of LiAc4Zn3.

Cell lengths 3.9863, 5.5445, 11.0452 Å; angles 90.00, 90.00, 90.00 degrees
Atoms (fractional coordinates):
1 Li 0.0000 0.0000 0.0000
2 Ac 0.5000 0.0000 0.2576
3 Ac 0.5000 0.0000 0.7424
4 Ac 0.5000 0.5000 0.0000
5 Ac 0.5000 0.5000 0.5000
6 Zn 0.0000 0.0000 0.5000
7 Zn 0.0000 0.5000 0.2440
8 Zn 0.0000 0.5000 0.7560

Output
**Formation enthalpy at 0 K**: -177 meV/atom